Entry 1:
# PBE OsRhBr3, relaxed
# N(E_F)   2.259 states/eV per atom
# Space group   Pm-3m, No. 221
# ΔE_f (raw)   1.13 eV per atom
data_OsRhBr3
_chemical_formula_sum 'Os1 Rh1 Br3'
_cell_length_a 5.0544
_cell_length_b 5.0544
_cell_length_c 5.0544
_cell_angle_alpha 90.00
_cell_angle_beta 90.00
_cell_angle_gamma 90.00
_symmetry_space_group_name_H-M 'P 1'
_symmetry_Int_Tables_number 1
loop_
_symmetry_equiv_pos_as_xyz
'x,y,z'
loop_
_atom_site_label
_atom_site_type_symbol
_atom_site_fract_x
_atom_site_fract_y
_atom_site_fract_z
Br1 Br 0.5000 0.0000 0.0000
Br2 Br 0.0000 0.0000 0.5000
Br3 Br 0.0000 0.5000 0.0000
Os1 Os 0.0000 0.0000 0.0000
Rh1 Rh 0.5000 0.5000 0.5000



Entry 2:
# PBE K2HgO, relaxed
# N(E_F)   1.474 states/eV per atom
# Space group   C2/m, No. 12
# ΔE_f (raw)   -0.74 eV per atom
data_K2HgO
_chemical_formula_sum 'K2 Hg1 O1'
_cell_length_a 4.0523
_cell_length_b 4.0494
_cell_length_c 9.2107
_cell_angle_alpha 102.92
_cell_angle_beta 90.00
_cell_angle_gamma 120.02
_symmetry_space_group_name_H-M 'P 1'
_symmetry_Int_Tables_number 1
loop_
_symmetry_equiv_pos_as_xyz
'x,y,z'
loop_
_atom_site_label
_atom_site_type_symbol
_atom_site_fract_x
_atom_site_fract_y
_atom_site_fract_z
K1 K 0.0360 0.0721 0.1100
K2 K 0.4640 0.9279 0.3900
Hg1 Hg 0.2500 0.5000 0.7500
O1 O 0.7500 0.5000 0.2500



Entry 3:
# PBE CsMnGa2I8, relaxed
# N(E_F)   0.268 states/eV per atom
# Space group   R-3, No. 148
# ΔE_f (raw)   -0.59 eV per atom
data_CsMnGa2I8
_chemical_formula_sum 'Cs1 Mn1 Ga2 I8'
_cell_length_a 7.4059
_cell_length_b 7.4059
_cell_length_c 11.6697
_cell_angle_alpha 71.50
_cell_angle_beta 71.50
_cell_angle_gamma 60.00
_symmetry_space_group_name_H-M 'P 1'
_symmetry_Int_Tables_number 1
loop_
_symmetry_equiv_pos_as_xyz
'x,y,z'
loop_
_atom_site_label
_atom_site_type_symbol
_atom_site_fract_x
_atom_site_fract_y
_atom_site_fract_z
I1 I 0.6355 0.2687 0.1568
I2 I 0.8235 0.8235 0.5296
I3 I 0.0610 0.3645 0.8432
I4 I 0.7313 0.0610 0.8432
I5 I 0.3645 0.7313 0.8432
I6 I 0.1765 0.1765 0.4704
I7 I 0.9390 0.6355 0.1568
I8 I 0.2687 0.9390 0.1568
Cs1 Cs 0.5000 0.5000 0.5000
Ga1 Ga 0.7426 0.7426 0.7722
Ga2 Ga 0.2574 0.2574 0.2278
Mn1 Mn 0.0000 0.0000 0.0000



Entry 4:
# PBE CaErAlGa, relaxed
# N(E_F)   0.651 states/eV per atom
# Energy relative to the elements   -1.449 eV per formula unit
# Space group   F-43m, No. 216
data_CaErAlGa
_chemical_formula_sum 'Ca1 Er1 Al1 Ga1'
_cell_length_a 5.1214
_cell_length_b 5.1214
_cell_length_c 5.1214
_cell_angle_alpha 60.00
_cell_angle_beta 60.00
_cell_angle_gamma 60.00
_symmetry_space_group_name_H-M 'P 1'
_symmetry_Int_Tables_number 1
loop_
_symmetry_equiv_pos_as_xyz
'x,y,z'
loop_
_atom_site_label
_atom_site_type_symbol
_atom_site_fract_x
_atom_site_fract_y
_atom_site_fract_z
Al1 Al 0.7500 0.7500 0.7500
Er1 Er 0.0000 0.0000 0.0000
Ga1 Ga 0.2500 0.2500 0.2500
Ca1 Ca 0.5000 0.5000 0.5000



Entry 5:
# PBE CsNiAsIr2, relaxed
# N(E_F)   1.639 states/eV per atom
# Energy relative to the elements   6.599 eV per formula unit
# Space group   P4/mmm, No. 123
data_CsNiAsIr2
_chemical_formula_sum 'Cs1 Ni1 As1 Ir2'
_cell_length_a 4.5766
_cell_length_b 6.3809
_cell_length_c 4.5766
_cell_angle_alpha 90.00
_cell_angle_beta 90.00
_cell_angle_gamma 90.00
_symmetry_space_group_name_H-M 'P 1'
_symmetry_Int_Tables_number 1
loop_
_symmetry_equiv_pos_as_xyz
'x,y,z'
loop_
_atom_site_label
_atom_site_type_symbol
_atom_site_fract_x
_atom_site_fract_y
_atom_site_fract_z
Ir1 Ir 0.0000 0.0000 0.5000
Ir2 Ir 0.5000 0.0000 0.0000
As1 As 0.0000 0.0000 0.0000
Cs1 Cs 0.0000 0.5000 0.0000
Ni1 Ni 0.5000 0.5000 0.5000



Entry 6:
# PBE H6Se2I, relaxed
# Final energy   -2.951 eV per atom
# N(E_F)   0.194 states/eV per atom
# Space group   Fdd2, No. 43
data_H6Se2I
_chemical_formula_sum 'H12 Se4 I2'
_cell_length_a 7.1323
_cell_length_b 7.1322
_cell_length_c 8.4834
_cell_angle_alpha 104.49
_cell_angle_beta 104.49
_cell_angle_gamma 113.87
_symmetry_space_group_name_H-M 'P 1'
_symmetry_Int_Tables_number 1
loop_
_symmetry_equiv_pos_as_xyz
'x,y,z'
loop_
_atom_site_label
_atom_site_type_symbol
_atom_site_fract_x
_atom_site_fract_y
_atom_site_fract_z
Se1 Se 0.5516 0.8604 0.0341
Se2 Se 0.7676 0.5763 0.4659
Se3 Se 0.8263 0.5176 0.9659
Se4 Se 0.1104 0.3016 0.5341
H1 H 0.6089 0.4118 0.5135
H2 H 0.5786 0.7515 0.4812
H3 H 0.0748 0.2523 0.3445
H4 H 0.5023 0.8248 0.8445
H5 H 0.2703 0.0974 0.5188
H6 H 0.0015 0.3286 0.9812
H7 H 0.9803 0.6578 0.1555
H8 H 0.3455 0.6483 0.9865
H9 H 0.9078 0.7303 0.6555
H10 H 0.8983 0.0955 0.4865
H11 H 0.6618 0.3589 0.0135
H12 H 0.3474 0.0203 0.0188
I1 I 0.1708 0.1708 0.0000
I2 I 0.4208 0.9208 0.5000